# 1
A relaxed CaSeBr2Cl crystal. Source: the Alexandria database, functional PBE.

Structure (POSCAR):
```
CaSeBr2Cl
1.0
-1.681 -3.625 -3.828
2.977 -3.969 2.451
-4.838 -1.462 3.510
Br Cl Ca Se
2 1 1 1
Cartesian
-0.841 -1.813 -1.914 Br
1.489 -1.984 1.226 Br
-1.771 -4.528 1.066 Cl
0.000 0.000 0.000 Ca
-2.419 -0.731 1.755 Se
```

Properties
mass density	2.8	Mg/m³
total energy	-0.192	Ry/atom
Fermi-level density of states	13.48	states/eV/f.u.
E_form (uncorrected)	-474.0	meV/atom

=====

# 2
A relaxed NbCu3Cl9 crystal. Source: the Alexandria database, functional PBE.

Structure (POSCAR):
```
NbCu3Cl9
1.0
-2.021 -3.288 8.081
7.209 -3.427 5.370
1.636 6.840 8.154
Cl Cu Nb
18 6 2
Cartesian
2.982 1.000 13.212 Cl
3.957 -4.093 10.058 Cl
2.430 -3.486 12.870 Cl
1.174 4.137 8.144 Cl
0.793 -2.508 10.211 Cl
-1.110 -2.898 7.071 Cl
2.808 1.385 16.902 Cl
5.900 -3.251 14.289 Cl
6.234 3.393 11.770 Cl
1.500 1.577 10.131 Cl
4.765 1.171 8.027 Cl
5.738 -0.822 11.870 Cl
3.296 4.872 11.885 Cl
2.659 -2.347 7.115 Cl
1.366 0.962 6.788 Cl
6.639 -2.719 8.343 Cl
6.055 -2.310 17.980 Cl
5.667 -0.067 15.168 Cl
4.469 -2.866 8.171 Cu
0.988 1.138 12.339 Cu
6.419 -1.036 19.735 Cu
3.351 -0.418 14.856 Cu
-1.356 -2.587 9.231 Cu
3.489 -0.315 7.004 Cu
1.669 -4.678 10.891 Nb
7.090 -1.346 13.659 Nb
```

Properties
mass density	2.7	Mg/m³
total energy	-0.280	Ry/atom
Fermi-level density of states	4.84	states/eV/f.u.
E_form (uncorrected)	-810.4	meV/atom

=====

# 3
A relaxed AcTb2Ag crystal. Source: the Alexandria database, functional PBE.

Structure (POSCAR):
```
AcTb2Ag
1.0
3.776 0.000 0.000
0.000 5.669 0.000
0.000 0.000 5.669
Tb Ag Ac
2 1 1
Cartesian
0.000 0.000 2.834 Tb
0.000 2.834 0.000 Tb
1.888 2.834 2.834 Ag
1.888 0.000 0.000 Ac
```

Properties
mass density	8.9	Mg/m³
total energy	-0.289	Ry/atom
Fermi-level density of states	6.94	states/eV/f.u.
energy relative to the elements	0.12	eV/atom

=====

# 4
A relaxed AlSiAu crystal. Source: the Alexandria database, functional PBE.

Structure (POSCAR):
```
AlSiAu
1.0
-1.761 0.892 3.145
-0.719 -2.621 2.530
7.737 1.210 6.188
Si Al Au
2 2 2
Cartesian
-0.423 -1.194 6.050 Si
-0.492 -0.805 3.709 Si
4.926 -0.482 11.035 Al
4.649 0.671 3.981 Al
1.742 -0.744 7.137 Au
5.234 0.389 6.580 Au
```

Properties
mass density	7.2	Mg/m³
total energy	-0.310	Ry/atom
Fermi-level density of states	0.70	states/eV/f.u.
E_form (uncorrected)	-66.6	meV/atom

=====

# 5
A relaxed YZn6Ir4 crystal. Source: the Alexandria database, functional PBE.

Structure (POSCAR):
```
YZn6Ir4
1.0
-1.966 -6.144 -1.517
2.587 3.940 -4.658
5.405 0.973 3.708
Zn Ir Y
6 4 1
Cartesian
-0.380 -3.375 -1.069 Zn
6.180 2.945 0.847 Zn
3.061 0.089 -1.000 Zn
5.156 4.023 -2.193 Zn
1.720 -2.585 1.096 Zn
0.311 -1.102 -3.087 Zn
5.269 1.493 -1.245 Ir
1.867 -2.041 -1.353 Ir
3.939 1.590 1.072 Ir
2.942 2.640 -1.889 Ir
0.000 0.000 0.000 Y
```

Properties
mass density	10.2	Mg/m³
total energy	-0.336	Ry/atom
Fermi-level density of states	9.09	states/eV/f.u.
energy relative to the elements	-0.07	eV/atom

=====

# 6
A relaxed CaIr2 crystal. Source: the Alexandria database, functional PBE.

Structure (POSCAR):
```
CaIr2
1.0
-4.999 -1.881 0.090
-3.371 -4.104 -0.571
-1.348 -3.105 7.115
Ca Ir
2 4
Cartesian
-7.245 -5.449 0.487 Ca
-2.473 -3.640 6.147 Ca
-4.737 -4.977 5.069 Ir
-4.981 -4.113 1.565 Ir
-7.874 -6.715 3.193 Ir
-1.844 -2.375 3.442 Ir
```

Properties
mass density	13.0	Mg/m³
total energy	-0.481	Ry/atom
Fermi-level density of states	3.68	states/eV/f.u.
energy relative to the elements	0.03	eV/atom